(1)
## Ag10Te4BrCl (PBEsol)

Data for crystalline Ag10Te4BrCl at its relaxed geometry.

Cell lengths 13.664, 7.545, 19.315 Å; angles 90.00, 134.79, 90.00 degrees
Fractional positions:
1 Ag 0.015 0.106 0.088
2 Ag 0.015 0.394 0.588
3 Ag 0.066 0.749 0.206
4 Ag 0.066 0.751 0.706
5 Ag 0.136 0.210 0.289
6 Ag 0.136 0.290 0.789
7 Ag 0.171 0.635 0.051
8 Ag 0.171 0.865 0.551
9 Ag 0.187 0.067 0.933
10 Ag 0.187 0.433 0.433
11 Ag 0.249 0.014 0.110
12 Ag 0.249 0.486 0.610
13 Ag 0.361 0.144 0.613
14 Ag 0.361 0.356 0.113
15 Ag 0.364 0.611 0.429
16 Ag 0.364 0.889 0.929
17 Ag 0.467 0.632 0.075
18 Ag 0.467 0.868 0.575
19 Ag 0.472 0.020 0.115
20 Ag 0.472 0.480 0.615
21 Ag 0.528 0.520 0.385
22 Ag 0.528 0.980 0.885
23 Ag 0.533 0.132 0.425
24 Ag 0.533 0.368 0.925
25 Ag 0.636 0.111 0.071
26 Ag 0.636 0.389 0.571
27 Ag 0.639 0.644 0.887
28 Ag 0.639 0.856 0.387
29 Ag 0.751 0.514 0.390
30 Ag 0.751 0.986 0.890
31 Ag 0.813 0.567 0.567
32 Ag 0.813 0.933 0.067
33 Ag 0.829 0.135 0.449
34 Ag 0.829 0.365 0.949
35 Ag 0.864 0.710 0.211
36 Ag 0.864 0.790 0.711
37 Ag 0.934 0.249 0.294
38 Ag 0.934 0.251 0.794
39 Ag 0.985 0.606 0.412
40 Ag 0.985 0.894 0.912
41 Te 0.070 0.215 0.488
42 Te 0.070 0.285 0.988
43 Te 0.134 0.707 0.878
44 Te 0.134 0.793 0.378
45 Te 0.394 0.203 0.484
46 Te 0.394 0.297 0.984
47 Te 0.439 0.746 0.194
48 Te 0.439 0.754 0.694
49 Te 0.561 0.246 0.306
50 Te 0.561 0.254 0.806
51 Te 0.606 0.703 0.016
52 Te 0.606 0.797 0.516
53 Te 0.866 0.207 0.622
54 Te 0.866 0.293 0.122
55 Te 0.930 0.715 0.012
56 Te 0.930 0.785 0.512
57 Br 0.242 0.015 0.749
58 Br 0.242 0.485 0.249
59 Br 0.758 0.515 0.751
60 Br 0.758 0.985 0.251
61 Cl 0.258 0.508 0.755
62 Cl 0.258 0.992 0.255
63 Cl 0.742 0.008 0.745
64 Cl 0.742 0.492 0.245

Properties
uncorrected energy = -212.19 eV per cell
crystal system = monoclinic
energy relative to the elements, uncorrected = -1.954 eV/f.u.
symmetry = P2_1/c (14)
calculated density = 8.01 g cm⁻³



(2)
## Co2AgBr (PBEsol)

Data for crystalline Co2AgBr at its relaxed geometry.

Cell lengths 4.311, 4.311, 3.061 Å; angles 90.00, 90.00, 90.00 degrees
Fractional positions:
1 Co 0.000 0.500 0.000
2 Co 0.500 0.000 0.000
3 Ag 0.000 0.000 0.500
4 Br 0.500 0.500 0.500

Properties
uncorrected energy = -17.58 eV per cell
crystal system = tetragonal
energy relative to the elements, uncorrected = 3.077 eV/f.u.
symmetry = P4/mmm (123)
calculated density = 8.92 g cm⁻³